MnRu2N | PBE-GGA | optimized geometry

Output
volume: 114.1 Å³/cell
space-group type: I-42d
DOS(E_F): 0.42 states/eV per atom
raw formation energy: 0.549 eV/atom

a b c (Å): 4.945 4.945 5.831
angles (deg): 64.91 64.91 90.00
Fractional positions:
N (0.250, 0.750, 0.500)
N (0.500, 0.500, 0.000)
Ru (0.571, 0.125, 0.250)
Ru (0.875, 0.821, 0.750)
Ru (0.375, 0.429, 0.750)
Ru (0.179, 0.625, 0.250)
Mn (0.750, 0.250, 0.500)
Mn (0.000, 0.000, 0.000)

***

NiC2 | PBE-GGA | optimized geometry

Output
volume: 36.4 Å³/cell
space-group type: P-1
DOS(E_F): 0.76 states/eV per atom
calculated formation energy: 0.95 eV/atom

a b c (Å): 2.369 3.803 4.239
angles (deg): 86.59 90.00 72.72
Fractional positions:
C (0.000, 0.500, 0.345)
C (0.000, 0.500, 0.655)
Ni (0.500, 0.500, 0.000)

***

MnTlFe4 | PBE-GGA | optimized geometry

Output
volume: 80.3 Å³/cell
space-group type: F-43m
DOS(E_F): 0.96 states/eV per atom
calculated formation energy: 0.33 eV/atom

a b c (Å): 4.842 4.842 4.842
angles (deg): 60.00 60.00 60.00
Site moments in Bohr magnetons follow the coordinates.
Fractional positions:
Fe (0.376, 0.376, 0.873)  1.88
Fe (0.376, 0.873, 0.376)  1.88
Fe (0.873, 0.376, 0.376)  1.88
Fe (0.376, 0.376, 0.376)  1.88
Tl (0.000, 0.000, 0.000)  -0.10
Mn (0.750, 0.750, 0.750)  3.20

***

Li2PmMgPd4 | PBE-GGA | optimized geometry

Output
volume: 137.4 Å³/cell
space-group type: R-3m
DOS(E_F): 0.57 states/eV per atom
calculated formation energy: -0.59 eV/atom

a b c (Å): 4.445 4.445 8.429
angles (deg): 74.71 74.71 60.00
Fractional positions:
Li (0.239, 0.239, 0.282)
Li (0.761, 0.761, 0.718)
Pm (0.000, 0.000, 0.000)
Pd (0.608, 0.608, 0.175)
Pd (0.874, 0.874, 0.378)
Pd (0.392, 0.392, 0.825)
Pd (0.126, 0.126, 0.622)
Mg (0.500, 0.500, 0.500)

***

NdHgBi2O4 | PBE-GGA | optimized geometry

Output
volume: 149.7 Å³/cell
space-group type: P4/mmm
DOS(E_F): 0.37 states/eV per atom
raw formation energy: -1.632 eV/atom

a b c (Å): 4.052 4.052 9.117
angles (deg): 90.00 90.00 90.00
Fractional positions:
Nd (0.000, 0.000, 0.000)
Hg (0.000, 0.000, 0.500)
Bi (0.500, 0.500, 0.276)
Bi (0.500, 0.500, 0.724)
O (0.000, 0.500, 0.840)
O (0.000, 0.500, 0.160)
O (0.500, 0.000, 0.840)
O (0.500, 0.000, 0.160)

***

Hf2MnAs | PBE-GGA | optimized geometry

Output
volume: 147.1 Å³/cell
space-group type: I-42d
DOS(E_F): 1.25 states/eV per atom
calculated formation energy: 0.15 eV/atom

a b c (Å): 7.101 7.101 5.807
angles (deg): 52.31 52.31 90.00
Fractional positions:
Hf (0.609, 0.125, 0.250)
Hf (0.375, 0.391, 0.750)
Hf (0.141, 0.625, 0.250)
Hf (0.875, 0.859, 0.750)
Mn (0.500, 0.500, 0.000)
Mn (0.250, 0.750, 0.500)
As (0.000, 0.000, 0.000)
As (0.750, 0.250, 0.500)

***

IrPdPb2O8 | PBE-GGA | optimized geometry

Output
volume: 156.3 Å³/cell
space-group type: P2/m
DOS(E_F): 0.33 states/eV per atom
raw formation energy: -0.644 eV/atom

a b c (Å): 4.935 4.783 6.622
angles (deg): 90.00 90.00 91.29
Site moments in Bohr magnetons follow the coordinates.
Fractional positions:
O (0.865, 0.211, 0.242)  0.04
O (0.865, 0.211, 0.758)  0.04
O (0.677, 0.757, 0.000)  0.07
O (0.323, 0.243, 0.000)  0.07
O (0.668, 0.745, 0.500)  -0.01
O (0.332, 0.255, 0.500)  -0.01
O (0.135, 0.789, 0.758)  0.04
O (0.135, 0.789, 0.242)  0.04
Pb (0.500, 0.500, 0.748)  -0.01
Pb (0.500, 0.500, 0.252)  -0.01
Ir (0.000, 0.000, 0.000)  0.55
Pd (0.000, 0.000, 0.500)  -0.04

***

AcLa2Br | PBE-GGA | optimized geometry

Output
volume: 142.9 Å³/cell
space-group type: R3m
DOS(E_F): 1.43 states/eV per atom
raw formation energy: -0.586 eV/atom

a b c (Å): 3.916 3.916 10.996
angles (deg): 79.74 79.74 60.00
Fractional positions:
Br (0.667, 0.667, 0.000)
Ac (0.500, 0.500, 0.500)
La (0.262, 0.262, 0.215)
La (0.072, 0.072, 0.785)

***

K3Na3PuI8 | PBE-GGA | optimized geometry

Output
volume: 637.9 Å³/cell
space-group type: R-3m
DOS(E_F): 1.43 states/eV per atom
raw formation energy: -1.285 eV/atom

a b c (Å): 9.499 9.503 9.833
angles (deg): 118.91 90.00 119.98
Site moments in Bohr magnetons follow the coordinates.
Fractional positions:
I (0.762, 0.524, 0.279)  -0.01
I (0.762, 0.017, 0.279)  -0.01
I (0.742, 0.483, 0.724)  0.00
I (0.258, 0.517, 0.276)  0.00
I (0.238, 0.476, 0.721)  -0.01
I (0.255, 0.017, 0.279)  -0.01
I (0.238, 0.983, 0.721)  -0.01
I (0.745, 0.983, 0.721)  -0.01
K (0.000, 0.500, 0.000)  0.00
K (0.500, 0.500, 0.000)  0.00
K (0.000, 0.000, 0.000)  0.00
Pu (0.000, 0.000, 0.500)  5.82
Na (0.500, 0.500, 0.500)  0.00
Na (0.000, 0.500, 0.500)  0.00
Na (0.500, 0.000, 0.500)  0.00

***

TcMo2Ir | PBE-GGA | optimized geometry

Output
volume: 133.0 Å³/cell
space-group type: I-42d
DOS(E_F): 0.97 states/eV per atom
calculated formation energy: 0.64 eV/atom

a b c (Å): 3.871 3.871 9.288
angles (deg): 77.97 77.97 90.00
Fractional positions:
Mo (0.622, 0.125, 0.250)
Mo (0.128, 0.625, 0.250)
Mo (0.375, 0.378, 0.750)
Mo (0.875, 0.872, 0.750)
Tc (0.250, 0.750, 0.500)
Tc (0.500, 0.500, 0.000)
Ir (0.000, 0.000, 0.000)
Ir (0.750, 0.250, 0.500)

***

SrZn3Cl | PBE-GGA | optimized geometry

Output
volume: 153.2 Å³/cell
space-group type: Pm-3m
DOS(E_F): 0.49 states/eV per atom
raw formation energy: 0.145 eV/atom

a b c (Å): 5.351 5.351 5.351
angles (deg): 90.00 90.00 90.00
Fractional positions:
Cl (0.000, 0.000, 0.000)
Zn (0.500, 0.000, 0.000)
Zn (0.000, 0.000, 0.500)
Zn (0.000, 0.500, 0.000)
Sr (0.500, 0.500, 0.500)

***

Tl3Cd4Bi4 | PBE-GGA | optimized geometry

Output
volume: 329.7 Å³/cell
space-group type: Immm
DOS(E_F): 0.35 states/eV per atom
calculated formation energy: 0.02 eV/atom

a b c (Å): 5.327 3.497 17.986
angles (deg): 95.58 98.52 90.00
Fractional positions:
Bi (0.189, 0.689, 0.377)
Bi (0.811, 0.311, 0.623)
Bi (0.449, 0.449, 0.898)
Bi (0.551, 0.551, 0.102)
Cd (0.733, 0.733, 0.466)
Cd (0.267, 0.267, 0.534)
Cd (0.095, 0.595, 0.190)
Cd (0.905, 0.405, 0.810)
Tl (0.361, 0.861, 0.722)
Tl (0.639, 0.139, 0.278)
Tl (0.000, 0.000, 0.000)

***

YTaBe2 | PBE-GGA | optimized geometry

Output
volume: 63.4 Å³/cell
space-group type: P4mm
DOS(E_F): 0.83 states/eV per atom
calculated formation energy: 0.27 eV/atom

a b c (Å): 2.908 2.908 7.491
angles (deg): 90.00 90.00 90.00
Fractional positions:
Be (0.500, 0.500, 0.207)
Be (0.000, 0.000, 0.074)
Y (0.500, 0.500, 0.779)
Ta (0.000, 0.000, 0.440)

***

Lu2AgPt | PBE-GGA | optimized geometry

Output
volume: 85.2 Å³/cell
space-group type: P4/mmm
DOS(E_F): 0.63 states/eV per atom
calculated formation energy: -0.85 eV/atom

a b c (Å): 3.486 3.486 7.008
angles (deg): 90.00 90.00 90.00
Fractional positions:
Lu (0.000, 0.000, 0.236)
Lu (0.000, 0.000, 0.764)
Ag (0.500, 0.500, 0.500)
Pt (0.500, 0.500, 0.000)

***

Tl3Pb4Au | PBE-GGA | optimized geometry

Output
volume: 237.1 Å³/cell
space-group type: P4/mmm
DOS(E_F): 0.32 states/eV per atom
calculated formation energy: -0.02 eV/atom

a b c (Å): 3.516 3.516 19.174
angles (deg): 90.00 90.00 90.00
Fractional positions:
Tl (0.500, 0.500, 0.759)
Tl (0.500, 0.500, 0.500)
Tl (0.500, 0.500, 0.241)
Au (0.500, 0.500, 0.000)
Pb (0.000, 0.000, 0.632)
Pb (0.000, 0.000, 0.097)
Pb (0.000, 0.000, 0.368)
Pb (0.000, 0.000, 0.903)

***

ScCu2Tc | PBE-GGA | optimized geometry

Output
volume: 59.2 Å³/cell
space-group type: P4/mmm
DOS(E_F): 1.20 states/eV per atom
calculated formation energy: 0.16 eV/atom

a b c (Å): 2.795 2.795 7.583
angles (deg): 90.00 90.00 90.01
Fractional positions:
Sc (0.500, 0.500, 0.250)
Cu (0.000, 0.000, 0.514)
Cu (0.000, 0.000, 0.986)
Tc (0.500, 0.500, 0.750)

***

Ba6Li2HgPt | PBE-GGA | optimized geometry

Output
volume: 955.5 Å³/cell
space-group type: P2_1/c
DOS(E_F): 0.87 states/eV per atom
calculated formation energy: -0.26 eV/atom

a b c (Å): 8.078 9.504 12.456
angles (deg): 90.00 87.83 90.00
Fractional positions:
Pt (0.000, 0.500, 0.000)
Pt (0.500, 0.000, 0.500)
Ba (0.629, 0.032, 0.260)
Ba (0.647, 0.301, 0.556)
Ba (0.871, 0.532, 0.240)
Ba (0.353, 0.699, 0.444)
Ba (0.147, 0.199, 0.056)
Ba (0.371, 0.968, 0.740)
Ba (0.129, 0.468, 0.760)
Ba (0.672, 0.333, 0.947)
Ba (0.828, 0.833, 0.553)
Ba (0.853, 0.801, 0.944)
Ba (0.172, 0.167, 0.447)
Ba (0.328, 0.667, 0.053)
Hg (0.000, 0.500, 0.500)
Hg (0.500, 0.000, 0.000)
Li (0.923, 0.109, 0.752)
Li (0.423, 0.391, 0.252)
Li (0.577, 0.609, 0.748)
Li (0.077, 0.891, 0.248)

***

SrNpI5 | PBE-GGA | optimized geometry

Output
volume: 726.1 Å³/cell
space-group type: C2/c
DOS(E_F): 0.70 states/eV per atom
raw formation energy: -1.143 eV/atom

a b c (Å): 8.120 8.120 12.368
angles (deg): 105.40 110.15 94.07
Site moments in Bohr magnetons follow the coordinates.
Fractional positions:
I (0.244, 0.796, 0.144)  -0.02
I (0.777, 0.193, 0.520)  -0.02
I (0.327, 0.243, 0.020)  -0.02
I (0.673, 0.757, 0.980)  -0.02
I (0.018, 0.768, 0.750)  -0.02
I (0.653, 0.601, 0.356)  -0.02
I (0.223, 0.807, 0.480)  -0.02
I (0.982, 0.232, 0.250)  -0.02
I (0.756, 0.204, 0.856)  -0.02
I (0.347, 0.399, 0.644)  -0.02
Np (0.000, 0.000, 0.000)  4.01
Np (0.000, 0.500, 0.500)  4.01
Sr (0.326, 0.076, 0.750)  0.00
Sr (0.674, 0.924, 0.250)  0.00

***

ZrTiCu2B | PBE-GGA | optimized geometry

Output
volume: 70.5 Å³/cell
space-group type: P4/mmm
DOS(E_F): 0.53 states/eV per atom
calculated formation energy: -0.02 eV/atom

a b c (Å): 4.012 4.376 4.012
angles (deg): 90.00 90.00 90.00
Fractional positions:
Zr (0.500, 0.500, 0.500)
Ti (0.000, 0.500, 0.000)
Cu (0.500, 0.000, 0.000)
Cu (0.000, 0.000, 0.500)
B (0.000, 0.000, 0.000)

***

Tb4Pm3Sm8 | PBE-GGA | optimized geometry

Output
volume: 512.3 Å³/cell
space-group type: C2/m
DOS(E_F): 1.67 states/eV per atom
calculated formation energy: 0.34 eV/atom

a b c (Å): 6.905 9.273 9.273
angles (deg): 82.13 111.73 111.73
Fractional positions:
Sm (0.000, 0.704, 0.296)
Sm (0.200, 0.704, 0.704)
Sm (0.800, 0.296, 0.296)
Sm (0.749, 0.752, 0.752)
Sm (0.500, 0.248, 0.752)
Sm (0.000, 0.296, 0.704)
Sm (0.500, 0.752, 0.248)
Sm (0.251, 0.248, 0.248)
Pm (0.500, 0.000, 0.500)
Pm (0.500, 0.500, 0.000)
Pm (0.500, 0.500, 0.500)
Tb (0.000, 0.000, 0.500)
Tb (0.000, 0.000, 0.000)
Tb (0.000, 0.500, 0.000)
Tb (0.500, 0.000, 0.000)

***

Ta2AgAu | PBE-GGA | optimized geometry

Output
volume: 70.7 Å³/cell
space-group type: Pmmm
DOS(E_F): 0.70 states/eV per atom
calculated formation energy: 0.18 eV/atom

a b c (Å): 2.904 4.223 5.765
angles (deg): 90.00 90.00 90.00
Fractional positions:
Ta (0.000, 0.000, 0.000)
Ta (0.000, 0.000, 0.500)
Ag (0.500, 0.500, 0.250)
Au (0.500, 0.500, 0.750)